First-principles (GGA-PBEsol) data for Tl3Ru after structural relaxation, as listed in Alexandria.

a b c (Å): 5.2127 5.2127 5.2127
angles (deg): 90.00 90.00 90.00
Element x y z (fractional)
Tl: 0.0000 0.0000 0.5000
Tl: 0.0000 0.5000 0.0000
Tl: 0.5000 0.0000 0.0000
Ru: 0.0000 0.0000 0.0000

formation enthalpy at 0 K	0.337	eV per atom
V	142	Å³/f.u.
size of the total moment	0.0	μB per formula unit
distance to the lowest polymorph of the same formula	0	meV per atom

***

First-principles (GGA-PBEsol) data for TlRu after structural relaxation, as listed in Alexandria.

a b c (Å): 6.0173 6.0173 6.0173
angles (deg): 90.00 90.00 90.00
Element x y z (fractional)
Tl: 0.0000 0.0000 0.0000
Tl: 0.0000 0.5000 0.5000
Tl: 0.5000 0.0000 0.5000
Tl: 0.5000 0.5000 0.0000
Ru: 0.2500 0.2500 0.2500
Ru: 0.2500 0.7500 0.7500
Ru: 0.7500 0.2500 0.7500
Ru: 0.7500 0.7500 0.2500

formation enthalpy at 0 K	1.889	eV per atom
V	54	Å³/f.u.
size of the total moment	1.1	μB per formula unit

***

First-principles (GGA-PBEsol) data for Tl3Ru after structural relaxation, as listed in Alexandria.

a b c (Å): 3.2840 3.2840 9.7482
angles (deg): 90.00 90.00 120.00
Element x y z (fractional)
Tl: 0.0000 0.0000 0.0000
Tl: 0.3333 0.6667 0.2924
Tl: 0.3333 0.6667 0.7076
Ru: 0.0000 0.0000 0.5000

formation enthalpy at 0 K	0.441	eV per atom
V	91	Å³/f.u.
size of the total moment	0.0	μB per formula unit
distance to the lowest polymorph of the same formula	104	meV per atom

***

First-principles (GGA-PBEsol) data for TlRu4 after structural relaxation, as listed in Alexandria.

a b c (Å): 6.2020 6.2020 3.8416
angles (deg): 90.00 90.00 90.00
Element x y z (fractional)
Tl: 0.0000 0.0000 0.0000
Tl: 0.5000 0.5000 0.5000
Ru: 0.0960 0.6852 0.5000
Ru: 0.1852 0.4040 0.0000
Ru: 0.3148 0.0960 0.5000
Ru: 0.4040 0.8148 0.0000
Ru: 0.5960 0.1852 0.0000
Ru: 0.6852 0.9040 0.5000
Ru: 0.8148 0.5960 0.0000
Ru: 0.9040 0.3148 0.5000

formation enthalpy at 0 K	0.458	eV per atom
V	74	Å³/f.u.
size of the total moment	0.0	μB per formula unit

***

First-principles (GGA-PBEsol) data for TlRu2W after structural relaxation, as listed in Alexandria.

a b c (Å): 9.0160 2.8720 5.0575
angles (deg): 90.00 101.23 90.00
Element x y z (fractional)
Tl: 0.0000 0.0000 0.0000
Tl: 0.5000 0.5000 0.0000
Ru: 0.2387 0.0000 0.7095
Ru: 0.2613 0.5000 0.2905
Ru: 0.7387 0.5000 0.7095
Ru: 0.7613 0.0000 0.2905
W: 0.0000 0.5000 0.5000
W: 0.5000 0.0000 0.5000

formation enthalpy at 0 K	0.501	eV per atom
V	64	Å³/f.u.
size of the total moment	0.0	μB per formula unit
distance to the lowest polymorph of the same formula	229	meV per atom

***

First-principles (GGA-PBEsol) data for TlRu2W after structural relaxation, as listed in Alexandria.

a b c (Å): 2.9395 2.9395 7.3899
angles (deg): 90.00 90.00 90.00
Element x y z (fractional)
Tl: 0.0000 0.0000 0.0000
Ru: 0.5000 0.5000 0.2789
Ru: 0.5000 0.5000 0.7211
W: 0.0000 0.0000 0.5000

formation enthalpy at 0 K	0.273	eV per atom
V	64	Å³/f.u.
size of the total moment	0.0	μB per formula unit
distance to the lowest polymorph of the same formula	0	meV per atom

***

First-principles (GGA-PBEsol) data for Tl2RuW after structural relaxation, as listed in Alexandria.

a b c (Å): 2.9021 4.7202 11.3092
angles (deg): 90.00 90.00 90.00
Element x y z (fractional)
Tl: 0.0000 0.0000 0.0000
Tl: 0.0000 0.5000 0.2079
Tl: 0.5000 0.0000 0.7079
Tl: 0.5000 0.5000 0.5000
Ru: 0.0000 0.0000 0.4650
Ru: 0.5000 0.5000 0.9650
W: 0.0000 0.5000 0.7811
W: 0.5000 0.0000 0.2811

formation enthalpy at 0 K	0.761	eV per atom
V	77	Å³/f.u.
size of the total moment	0.0	μB per formula unit

***

First-principles (GGA-PBEsol) data for TlRu2W after structural relaxation, as listed in Alexandria.

a b c (Å): 2.8357 2.8357 27.3715
angles (deg): 90.00 90.00 120.00
Element x y z (fractional)
Tl: 0.0000 0.0000 0.0000
Tl: 0.3333 0.6667 0.6667
Tl: 0.6667 0.3333 0.3333
Ru: 0.0000 0.0000 0.4952
Ru: 0.0000 0.0000 0.7531
Ru: 0.3333 0.6667 0.1619
Ru: 0.3333 0.6667 0.4197
Ru: 0.6667 0.3333 0.0864
Ru: 0.6667 0.3333 0.8286
W: 0.0000 0.0000 0.2401
W: 0.3333 0.6667 0.9067
W: 0.6667 0.3333 0.5734

formation enthalpy at 0 K	0.582	eV per atom
V	64	Å³/f.u.
size of the total moment	0.0	μB per formula unit
distance to the lowest polymorph of the same formula	309	meV per atom